Below is a relaxed structure of ScTaZn2, with properties calculated at the PBE level.

Lattice parameters (Å, degrees): 4.877 4.877 2.945 90.00 90.00 103.90
Fractional coordinates of all 4 atoms:
1 Ta 0.000 0.500 0.500
2 Zn 0.500 0.500 0.000
3 Zn 0.000 0.000 0.000
4 Sc 0.500 0.000 0.500

As for the formation energy: -0.099 eV/atom. As for the energy: -5.2818 eV per atom. The calculation puts the offset from the most stable computed form at 24.2 meV/atom.